Record 1
DFT (PBE) results for an optimized crystal structure of Ce3Co2Si.

- Total energy: -0.48606 Ry/atom
- M_tot: 0.00 μB/f.u.

Cell and atoms, written as CIF:
```
data_Ce3Co2Si
_chemical_formula_sum 'Ce6 Co4 Si2'
_symmetry_space_group_name_H-M 'I m m m'
_symmetry_Int_Tables_number 71
_symmetry_space_group_name_Hall '-I 2 2'
_cell_length_a 4.265
_cell_length_b 4.370
_cell_length_c 12.388
_cell_angle_alpha 90.00
_cell_angle_beta 90.00
_cell_angle_gamma 90.00
loop_
_atom_site_label
_atom_site_type_symbol
_atom_site_fract_x
_atom_site_fract_y
_atom_site_fract_z
_atom_site_occupancy
Ce1 Ce 0.000 0.000 0.000 1
Ce2 Ce 0.000 0.500 0.320 1
Co1 Co 0.000 0.500 0.137 1
Si1 Si 0.000 0.000 0.500 1
```

=====

Record 2
DFT (PBE) results for an optimized crystal structure of Ce3CoSi3.

- Total energy: -0.47974 Ry/atom
- M_tot: 2.34 μB/f.u.

Cell and atoms, written as CIF:
```
data_Ce3CoSi3
_chemical_formula_sum 'Ce12 Co4 Si12'
_symmetry_space_group_name_H-M 'C 1 2/m 1'
_symmetry_Int_Tables_number 12
_symmetry_space_group_name_Hall '-C 2y'
_cell_length_a 10.902
_cell_length_b 4.074
_cell_length_c 13.519
_cell_angle_alpha 90.00
_cell_angle_beta 107.18
_cell_angle_gamma 90.00
loop_
_atom_site_label
_atom_site_type_symbol
_atom_site_fract_x
_atom_site_fract_y
_atom_site_fract_z
_atom_site_occupancy
Ce1 Ce 0.020 0.000 0.395 1
Ce2 Ce 0.114 0.000 0.916 1
Ce3 Ce 0.249 0.000 0.232 1
Co1 Co 0.233 0.500 0.380 1
Si1 Si 0.043 0.500 0.239 1
Si2 Si 0.097 0.500 0.073 1
Si3 Si 0.184 0.500 0.540 1
```

=====

Record 3
DFT (PBE) results for an optimized crystal structure of CeCo12Si6.

- Total energy: -0.50656 Ry/atom
- M_tot: 4.24 μB/f.u.

Cell and atoms, written as CIF:
```
data_CeCo12Si6
_chemical_formula_sum 'Ce3 Co36 Si18'
_symmetry_space_group_name_H-M 'R -3 m'
_symmetry_Int_Tables_number 166
_symmetry_space_group_name_Hall '-R 3 2"'
_cell_length_a 10.3710
_cell_length_b 10.3710
_cell_length_c 7.6775
_cell_angle_alpha 90.00
_cell_angle_beta 90.00
_cell_angle_gamma 120.00
loop_
_atom_site_label
_atom_site_type_symbol
_atom_site_fract_x
_atom_site_fract_y
_atom_site_fract_z
_atom_site_occupancy
Ce1 Ce 0.0000 0.0000 0.0000 1
Co1 Co 0.0000 0.3699 0.5000 1
Co2 Co 0.0851 0.1701 0.3500 1
Si1 Si 0.0358 0.5179 0.2740 1
```

=====

Record 4
DFT (PBE) results for an optimized crystal structure of CeCo3Si.

- Total energy: -0.48435 Ry/atom
- M_tot: 0.72 μB/f.u.

Cell and atoms, written as CIF:
```
data_CeCo3Si
_chemical_formula_sum 'Ce1 Co3 Si1'
_symmetry_space_group_name_H-M 'P m -3 m'
_symmetry_Int_Tables_number 221
_symmetry_space_group_name_Hall '-P 4 2 3'
_cell_length_a 4.268
_cell_length_b 4.268
_cell_length_c 4.268
_cell_angle_alpha 90.00
_cell_angle_beta 90.00
_cell_angle_gamma 90.00
loop_
_atom_site_label
_atom_site_type_symbol
_atom_site_fract_x
_atom_site_fract_y
_atom_site_fract_z
_atom_site_occupancy
Ce1 Ce 0.000 0.000 0.000 1
Co1 Co 0.000 0.500 0.500 1
Si1 Si 0.500 0.500 0.500 1
```

=====

Record 5
DFT (PBE) results for an optimized crystal structure of Ce3Co3Si.

- Total energy: -0.48279 Ry/atom
- M_tot: 0.00 μB/f.u.

Cell and atoms, written as CIF:
```
data_Ce3Co3Si
_chemical_formula_sum 'Ce9 Co9 Si3'
_symmetry_space_group_name_H-M 'R 3 m'
_symmetry_Int_Tables_number 160
_symmetry_space_group_name_Hall 'R 3 -2"'
_cell_length_a 9.4918
_cell_length_b 9.4918
_cell_length_c 5.0404
_cell_angle_alpha 90.00
_cell_angle_beta 90.00
_cell_angle_gamma 120.00
loop_
_atom_site_label
_atom_site_type_symbol
_atom_site_fract_x
_atom_site_fract_y
_atom_site_fract_z
_atom_site_occupancy
Ce1 Ce 0.1989 0.3979 0.0000 1
Co1 Co 0.1917 0.3835 0.4974 1
Si1 Si 0.0000 0.0000 0.8583 1
```

=====

Record 6
DFT (PBE) results for an optimized crystal structure of Ce2CoSi.

- Total energy: -0.43820 Ry/atom
- M_tot: 0.43 μB/f.u.

Cell and atoms, written as CIF:
```
data_Ce2CoSi
_chemical_formula_sum 'Ce6 Co3 Si3'
_symmetry_space_group_name_H-M 'R -3 m'
_symmetry_Int_Tables_number 166
_symmetry_space_group_name_Hall '-R 3 2"'
_cell_length_a 3.0148
_cell_length_b 3.0148
_cell_length_c 29.3875
_cell_angle_alpha 90.00
_cell_angle_beta 90.00
_cell_angle_gamma 120.00
loop_
_atom_site_label
_atom_site_type_symbol
_atom_site_fract_x
_atom_site_fract_y
_atom_site_fract_z
_atom_site_occupancy
Ce1 Ce 0.0000 0.0000 0.0802 1
Co1 Co 0.0000 0.0000 0.0000 1
Si1 Si 0.0000 0.0000 0.5000 1
```

=====

Record 7
DFT (PBE) results for an optimized crystal structure of CeCoSi.

- Total energy: -0.49090 Ry/atom
- M_tot: 0.00 μB/f.u.

Cell and atoms, written as CIF:
```
data_CeCoSi
_chemical_formula_sum 'Ce4 Co4 Si4'
_symmetry_space_group_name_H-M 'C 1 2/m 1'
_symmetry_Int_Tables_number 12
_symmetry_space_group_name_Hall '-C 2y'
_cell_length_a 5.508
_cell_length_b 5.508
_cell_length_c 6.653
_cell_angle_alpha 90.00
_cell_angle_beta 90.08
_cell_angle_gamma 90.00
loop_
_atom_site_label
_atom_site_type_symbol
_atom_site_fract_x
_atom_site_fract_y
_atom_site_fract_z
_atom_site_occupancy
Ce1 Ce 0.250 0.000 0.144 1
Co1 Co 0.250 0.000 0.693 1
Si1 Si 0.000 0.250 0.500 1
```

=====

Record 8
DFT (PBE) results for an optimized crystal structure of CeTaCo5Si2.

- Total energy: -0.53521 Ry/atom
- M_tot: 0.00 μB/f.u.

Cell and atoms, written as CIF:
```
data_CeTaCo5Si2
_chemical_formula_sum 'Ce1 Ta1 Co5 Si2'
_symmetry_space_group_name_H-M 'P 4/m m m'
_symmetry_Int_Tables_number 123
_symmetry_space_group_name_Hall '-P 4 2'
_cell_length_a 3.655
_cell_length_b 3.655
_cell_length_c 10.475
_cell_angle_alpha 90.00
_cell_angle_beta 90.00
_cell_angle_gamma 90.00
loop_
_atom_site_label
_atom_site_type_symbol
_atom_site_fract_x
_atom_site_fract_y
_atom_site_fract_z
_atom_site_occupancy
Ce1 Ce 0.000 0.000 0.000 1
Ta1 Ta 0.000 0.000 0.500 1
Co1 Co 0.000 0.500 0.337 1
Co2 Co 0.500 0.500 0.000 1
Si1 Si 0.500 0.500 0.213 1
```